# 1
{
  "formula": "Pm3Al2Cd2",
  "functional": "PBE",
  "state": "relaxed",
  "lattice_angstrom": [[2.235, -11.162, 0.000], [2.235, 11.162, 0.000], [0.000, 0.000, 3.629]],
  "species": ["Pm", "Pm", "Pm", "Al", "Al", "Cd", "Cd"],
  "frac_coords": [[0.000, 0.000, 0.000], [0.162, 0.838, 0.000], [0.838, 0.162, 0.000], [0.281, 0.719, 0.500], [0.719, 0.281, 0.500], [0.419, 0.581, 0.500], [0.581, 0.419, 0.500]],
  "volume_a3_per_cell": 181.0,
  "m_tot_mub_per_fu": 0.4,
  "formation_energy_ev_per_atom": -0.3608
}

# 2
{
  "formula": "PmSmErTm",
  "functional": "PBE",
  "state": "relaxed",
  "lattice_angstrom": [[0.000, 4.020, 4.020], [4.020, 0.000, 4.020], [4.020, 4.020, 0.000]],
  "species": ["Pm", "Sm", "Er", "Tm"],
  "frac_coords": [[0.000, 0.000, 0.000], [0.500, 0.500, 0.500], [0.250, 0.250, 0.250], [0.750, 0.750, 0.750]],
  "volume_a3_per_cell": 129.9,
  "m_tot_mub_per_fu": 0.0,
  "de_polymorph_mev_per_atom": 91,
  "formation_energy_ev_per_atom": 0.1103
}

# 3
{
  "formula": "HgRuOF2",
  "functional": "PBE",
  "state": "relaxed",
  "lattice_angstrom": [[4.519, 0.000, 0.000], [0.000, 4.519, 0.000], [0.000, 0.000, 4.188]],
  "species": ["Hg", "Ru", "O", "F", "F"],
  "frac_coords": [[0.000, 0.000, 0.000], [0.500, 0.500, 0.500], [0.000, 0.000, 0.500], [0.000, 0.500, 0.000], [0.500, 0.000, 0.000]],
  "volume_a3_per_cell": 85.5,
  "m_tot_mub_per_fu": 3.7,
  "de_polymorph_mev_per_atom": 1008
}

# 4
{
  "formula": "Sr2GePd",
  "functional": "PBE",
  "state": "relaxed",
  "lattice_angstrom": [[3.726, 0.000, 0.000], [0.000, 3.726, 0.000], [0.000, 0.000, 7.855]],
  "species": ["Sr", "Sr", "Ge", "Pd"],
  "frac_coords": [[0.000, 0.000, 0.241], [0.000, 0.000, 0.759], [0.500, 0.500, 0.500], [0.500, 0.500, 0.000]],
  "volume_a3_per_cell": 109.0,
  "m_tot_mub_per_fu": 0.0,
  "formation_energy_ev_per_atom": -0.4768
}

# 5
{
  "formula": "LaAgO2",
  "functional": "PBE",
  "state": "relaxed",
  "lattice_angstrom": [[1.847, 1.066, 5.859], [-1.847, 1.066, 5.859], [0.000, -2.133, 5.859]],
  "species": ["La", "Ag", "O", "O"],
  "frac_coords": [[0.000, 0.000, 0.000], [0.182, 0.182, 0.182], [0.396, 0.396, 0.396], [0.594, 0.594, 0.594]],
  "volume_a3_per_cell": 69.2,
  "m_tot_mub_per_fu": 0.0,
  "dft_energy_ev_per_atom": -6.3717
}

# 6
{
  "formula": "La3CoPb",
  "functional": "PBE",
  "state": "relaxed",
  "lattice_angstrom": [[7.078, -6.982, 0.000], [7.078, 6.982, 0.000], [-1.651, 0.000, 6.298]],
  "species": ["La", "La", "La", "La", "La", "La", "La", "La", "La", "La", "La", "La", "Co", "Co", "Co", "Co", "Pb", "Pb", "Pb", "Pb"],
  "frac_coords": [[0.087, 0.773, 0.961], [0.147, 0.544, 0.408], [0.227, 0.913, 0.539], [0.325, 0.449, 0.938], [0.449, 0.325, 0.438], [0.456, 0.853, 0.092], [0.544, 0.147, 0.908], [0.551, 0.675, 0.562], [0.675, 0.551, 0.062], [0.773, 0.087, 0.461], [0.853, 0.456, 0.592], [0.913, 0.227, 0.039], [0.317, 0.683, 0.250], [0.320, 0.680, 0.750], [0.680, 0.320, 0.250], [0.683, 0.317, 0.750], [0.113, 0.229, 0.568], [0.229, 0.113, 0.068], [0.771, 0.887, 0.932], [0.887, 0.771, 0.432]],
  "volume_a3_per_cell": 622.5,
  "m_tot_mub_per_fu": 0.0,
  "de_polymorph_mev_per_atom": 137,
  "formation_energy_ev_per_atom": -0.2579
}

# 7
{
  "formula": "Be4CuPd7",
  "functional": "PBE",
  "state": "relaxed",
  "lattice_angstrom": [[5.761, -2.308, 0.000], [5.761, 2.308, 0.000], [-4.232, 0.000, 5.992]],
  "species": ["Be", "Be", "Be", "Be", "Cu", "Pd", "Pd", "Pd", "Pd", "Pd", "Pd", "Pd"],
  "frac_coords": [[0.030, 0.030, 0.203], [0.199, 0.199, 0.845], [0.801, 0.801, 0.155], [0.970, 0.970, 0.797], [0.500, 0.500, 0.500], [0.000, 0.000, 0.500], [0.209, 0.209, 0.163], [0.275, 0.275, 0.611], [0.432, 0.432, 0.107], [0.568, 0.568, 0.893], [0.725, 0.725, 0.389], [0.791, 0.791, 0.837]],
  "volume_a3_per_cell": 159.4,
  "m_tot_mub_per_fu": 0.0,
  "formation_energy_ev_per_atom": -0.2173
}

# 8
{
  "formula": "KAs3",
  "functional": "PBE",
  "state": "relaxed",
  "lattice_angstrom": [[3.113, -5.176, 0.000], [3.113, 5.176, 0.000], [0.000, 0.000, 2.800]],
  "species": ["K", "As", "As", "As"],
  "frac_coords": [[0.000, 0.000, 0.000], [0.000, 0.500, 0.500], [0.500, 0.000, 0.500], [0.500, 0.500, 0.000]],
  "volume_a3_per_cell": 90.2,
  "m_tot_mub_per_fu": 0.0,
  "de_polymorph_mev_per_atom": 378,
  "formation_energy_ev_per_atom": 0.2539
}